Record 1
DFT (meta-GGA SCAN) results for Nb3O2F5 at its PBEsol-relaxed geometry.

Computed properties:
- E_form (uncorrected) (meV/atom) = -2706
- crystal system = orthorhombic

abc: 5.9689 8.1050 13.1452
angles: 90.00 90.00 90.00
Fractional positions:
Nb 0.2204 0.7750 0.7616
Nb 0.0000 0.0063 0.1299
Nb 0.7204 0.2750 0.7384
Nb 0.7796 0.2250 0.2384
Nb 0.2796 0.2750 0.7384
Nb 0.2204 0.2250 0.2384
Nb 0.5000 0.4937 0.6299
Nb 0.7204 0.7250 0.2616
Nb 0.0000 0.9937 0.8701
Nb 0.2796 0.7250 0.2616
Nb 0.5000 0.5063 0.3701
Nb 0.7796 0.7750 0.7616
F 0.2105 0.0000 0.0000
F 0.0000 0.2765 0.1110
F 0.5000 0.2305 0.3513
F 0.5000 0.2971 0.8592
F 0.0000 0.7535 0.3589
F 0.0000 0.7235 0.8890
F 0.7895 0.0000 0.0000
F 0.0000 0.7971 0.6408
F 0.5000 0.7029 0.1408
F 0.7105 0.5000 0.5000
F 0.0000 0.2029 0.3592
F 0.0000 0.2465 0.6411
F 0.2895 0.5000 0.5000
F 0.5000 0.2235 0.6110
F 0.0000 0.7305 0.1487
F 0.5000 0.7695 0.6487
F 0.5000 0.7765 0.3890
F 0.0000 0.2695 0.8513
F 0.5000 0.7465 0.8589
F 0.5000 0.2535 0.1411
O 0.7541 0.9759 0.2345
O 0.2459 0.9759 0.2345
O 0.2541 0.5241 0.7345
O 0.2541 0.4759 0.2655
O 0.2459 0.0241 0.7655
O 0.7459 0.5241 0.7345
O 0.7459 0.4759 0.2655
O 0.7541 0.0241 0.7655

---

Record 2
DFT (meta-GGA SCAN) results for Nb4Pb3O12F2 at its PBEsol-relaxed geometry.

Computed properties:
- E_form (uncorrected) (meV/atom) = -2447
- crystal system = orthorhombic

abc: 7.5075 12.7471 12.7471
angles: 89.99 90.00 90.00
Fractional positions:
O 0.8089 0.7018 0.5492
O 0.8067 0.6425 0.1998
O 0.8091 0.2965 0.4490
O 0.0000 0.5342 0.8914
O 0.5000 0.9629 0.3771
O 0.5000 0.3293 0.3293
O 0.6868 0.0513 0.7908
O 0.3065 0.1438 0.3006
O 0.3021 0.1956 0.9506
O 0.6979 0.1956 0.9506
O 0.6912 0.6991 0.8549
O 0.3132 0.7908 0.0513
O 0.5000 0.7539 0.2462
O 0.5000 0.1019 0.1019
O 0.1908 0.3544 0.8031
O 0.0000 0.7448 0.7448
O 0.1933 0.6425 0.1998
O 0.1911 0.5492 0.7018
O 0.1911 0.7018 0.5492
O 0.3088 0.8549 0.6991
O 0.0000 0.8914 0.5342
O 0.3132 0.0513 0.7908
O 0.0000 0.8255 0.1667
O 0.8091 0.4490 0.2965
O 0.3021 0.9506 0.1956
O 0.6912 0.8549 0.6991
O 0.0000 0.3938 0.6064
O 0.5000 0.2462 0.7539
O 0.1908 0.8031 0.3544
O 0.8067 0.1998 0.6425
O 0.8089 0.5492 0.7018
O 0.0000 0.1667 0.8255
O 0.1933 0.1998 0.6425
O 0.8092 0.8031 0.3544
O 0.6935 0.3006 0.1438
O 0.3065 0.3006 0.1438
O 0.3088 0.6991 0.8549
O 0.5000 0.3771 0.9629
O 0.0000 0.6064 0.3938
O 0.1910 0.2965 0.4490
O 0.6935 0.1438 0.3006
O 0.6868 0.7908 0.0513
O 0.0000 0.2535 0.2535
O 0.5000 0.8896 0.8896
O 0.8092 0.3544 0.8031
O 0.6979 0.9506 0.1956
O 0.5000 0.6688 0.6688
O 0.1910 0.4490 0.2965
Nb 0.0000 0.2528 0.5567
Nb 0.2505 0.6972 0.6972
Nb 0.0000 0.5567 0.2528
Nb 0.5000 0.7448 0.9477
Nb 0.7513 0.8021 0.1996
Nb 0.7495 0.6972 0.6972
Nb 0.2487 0.8021 0.1996
Nb 0.5000 0.0488 0.2624
Nb 0.5000 0.2624 0.0488
Nb 0.2510 0.3012 0.3012
Nb 0.7513 0.1996 0.8021
Nb 0.0000 0.4573 0.7726
Nb 0.0000 0.7726 0.4573
Nb 0.7490 0.3012 0.3012
Nb 0.2487 0.1996 0.8021
Nb 0.5000 0.9477 0.7448
Pb 0.5000 0.5608 0.2142
Pb 0.7608 0.5012 0.5012
Pb 0.5000 0.7964 0.4373
Pb 0.2626 0.0080 0.0080
Pb 0.0000 0.7130 0.9401
Pb 0.0000 0.0625 0.2925
Pb 0.0000 0.9401 0.7130
Pb 0.5000 0.4373 0.7964
Pb 0.7374 0.0080 0.0080
Pb 0.5000 0.2142 0.5608
Pb 0.2392 0.5012 0.5012
Pb 0.0000 0.2925 0.0625
F 0.5000 0.0253 0.6065
F 0.5000 0.4075 0.5810
F 0.0000 0.4684 0.1163
F 0.5000 0.5810 0.4075
F 0.0000 0.0896 0.0896
F 0.5000 0.6065 0.0253
F 0.0000 0.9148 0.9148
F 0.0000 0.1163 0.4684

---

Record 3
DFT (meta-GGA SCAN) results for RbNbOF2 at its PBEsol-relaxed geometry.

Computed properties:
- E_form (uncorrected) (meV/atom) = -163
- crystal system = tetragonal

abc: 4.3821 4.6822 4.6822
angles: 90.00 90.00 90.00
Last column: magnetic moment on the atom in μB.
Fractional positions:
F 0.0000 0.0000 0.5000  -0.02
F 0.0000 0.5000 0.0000  -0.02
O 0.5000 0.0000 0.0000  -0.17
Rb 0.0000 0.0000 0.0000  -0.01
Nb 0.5000 0.5000 0.5000  2.48

---

Record 4
DFT (meta-GGA SCAN) results for NbSO2F at its PBEsol-relaxed geometry.

Computed properties:
- E_form (uncorrected) (meV/atom) = -155
- crystal system = tetragonal

abc: 3.5821 3.5821 4.9114
angles: 90.00 90.00 90.00
Last column: magnetic moment on the atom in μB.
Fractional positions:
S 0.0000 0.0000 0.0000  0.02
O 0.5000 0.0000 0.0000  0.04
O 0.0000 0.5000 0.0000  0.04
Nb 0.5000 0.5000 0.5000  2.48
F 0.0000 0.0000 0.5000  0.02

---

Record 5
DFT (meta-GGA SCAN) results for NbSO2F at its PBEsol-relaxed geometry.

Computed properties:
- E_form (uncorrected) (meV/atom) = -1492
- crystal system = tetragonal

abc: 3.9637 3.9637 4.2029
angles: 90.00 90.00 90.00
Last column: magnetic moment on the atom in μB.
Fractional positions:
F 0.0000 0.0000 0.5000  0.04
O 0.5000 0.0000 0.0000  0.16
O 0.0000 0.5000 0.0000  0.16
S 0.5000 0.5000 0.5000  1.24
Nb 0.0000 0.0000 0.0000  -0.24

---

Record 6
DFT (meta-GGA SCAN) results for Sc2NbOF at its PBEsol-relaxed geometry.

Computed properties:
- E_form (uncorrected) (meV/atom) = -472
- crystal system = tetragonal

abc: 3.9530 5.1758 5.1758
angles: 90.00 90.00 90.00
Fractional positions:
O 0.5000 0.0000 0.0000
Sc 0.0000 0.5000 0.0000
Sc 0.0000 0.0000 0.5000
Nb 0.0000 0.0000 0.0000
F 0.5000 0.5000 0.5000